The following is a DFT calculation (PBE-GGA) of Pr2InP3Pd4 after structural relaxation.

Lattice parameters (Å, degrees): 4.155 4.155 10.952 90.00 90.00 90.00
Fractional coordinates of all 10 atoms:
Pr: 0.500 0.000 0.227
Pr: 0.000 0.500 0.773
In: 0.500 0.500 0.500
P: 0.000 0.000 0.500
P: 0.500 0.000 0.870
P: 0.000 0.500 0.130
Pd: 0.500 0.500 0.000
Pd: 0.000 0.000 0.000
Pd: 0.500 0.000 0.654
Pd: 0.000 0.500 0.346

Output
The calculation puts the density of states at the Fermi level at 4.40 states/eV/f.u. The formation energy is -8.65 eV/f.u.

The following is a DFT calculation (PBE-GGA) of TaAlMoOs after structural relaxation.

Lattice parameters (Å, degrees): 4.448 4.448 4.448 60.00 60.00 60.00
Fractional coordinates of all 4 atoms:
Mo: 0.750 0.750 0.750
Os: 0.250 0.250 0.250
Al: 0.500 0.500 0.500
Ta: 0.000 0.000 0.000

Output
The calculation puts the density of states at the Fermi level at 4.47 states/eV/f.u. The formation energy is -1.10 eV/f.u.

The following is a DFT calculation (PBE-GGA) of Ac2TiP3Rh4 after structural relaxation.

Lattice parameters (Å, degrees): 4.168 4.168 10.519 90.00 90.00 90.00
Fractional coordinates of all 10 atoms:
Ac: 0.500 0.000 0.245
Ac: 0.000 0.500 0.755
Ti: 0.500 0.500 0.500
P: 0.000 0.000 0.500
P: 0.500 0.000 0.870
P: 0.000 0.500 0.130
Rh: 0.500 0.500 0.000
Rh: 0.000 0.000 0.000
Rh: 0.500 0.000 0.633
Rh: 0.000 0.500 0.367

Output
The calculation puts the density of states at the Fermi level at 7.38 states/eV/f.u. The formation energy is -9.89 eV/f.u.

The following is a DFT calculation (PBE-GGA) of TbBIr2Rh after structural relaxation.

Lattice parameters (Å, degrees): 4.256 4.214 4.214 90.00 90.00 90.00
Fractional coordinates of all 5 atoms:
Tb: 0.500 0.500 0.500
B: 0.000 0.000 0.000
Ir: 0.000 0.000 0.500
Ir: 0.000 0.500 0.000
Rh: 0.500 0.000 0.000

Output
The calculation puts the density of states at the Fermi level at 3.67 states/eV/f.u. The formation energy is -3.50 eV/f.u.

The following is a DFT calculation (PBE-GGA) of K2RbIn after structural relaxation.

Lattice parameters (Å, degrees): 5.935 5.934 5.934 90.00 90.00 90.00
Fractional coordinates of all 4 atoms:
K: 0.000 0.000 0.500
K: 0.000 0.500 0.000
Rb: 0.500 0.000 0.000
In: 0.500 0.500 0.500

Output
The calculation puts the density of states at the Fermi level at 3.41 states/eV/f.u. The formation energy is 0.31 eV/f.u.

The following is a DFT calculation (PBE-GGA) of LaGdMgRu after structural relaxation.

Lattice parameters (Å, degrees): 5.170 5.170 5.170 60.00 60.00 60.00
Each line ends with the local moment (μB).
Fractional coordinates of all 4 atoms:
Ru: 0.250 0.250 0.250  -0.23
Mg: 0.750 0.750 0.750  -0.01
Gd: 0.500 0.500 0.500  7.04
La: 0.000 0.000 0.000  0.01

Output
The calculation puts the density of states at the Fermi level at 4.72 states/eV/f.u. The formation energy is -0.39 eV/f.u.

The following is a DFT calculation (PBE-GGA) of SmHoPt after structural relaxation.

Lattice parameters (Å, degrees): 6.882 7.162 13.393 90.00 90.00 90.00
Fractional coordinates of all 24 atoms:
Sm: 0.807 0.393 0.801
Sm: 0.193 0.607 0.199
Sm: 0.693 0.893 0.199
Sm: 0.193 0.107 0.301
Sm: 0.307 0.107 0.801
Sm: 0.807 0.893 0.699
Sm: 0.307 0.607 0.699
Sm: 0.693 0.393 0.301
Ho: 0.003 0.261 0.531
Ho: 0.997 0.739 0.469
Ho: 0.497 0.761 0.469
Ho: 0.997 0.239 0.031
Ho: 0.503 0.239 0.531
Ho: 0.003 0.761 0.969
Ho: 0.503 0.739 0.969
Ho: 0.497 0.261 0.031
Pt: 0.725 0.041 0.897
Pt: 0.275 0.959 0.103
Pt: 0.775 0.541 0.103
Pt: 0.275 0.459 0.397
Pt: 0.225 0.459 0.897
Pt: 0.725 0.541 0.603
Pt: 0.225 0.959 0.603
Pt: 0.775 0.041 0.397

Output
The calculation puts the density of states at the Fermi level at 3.42 states/eV/f.u. The energy relative to the lowest polymorph listed for this composition is 0.000 eV per atom. The formation energy is -2.70 eV/f.u.

The following is a DFT calculation (PBE-GGA) of CaBi2PPd after structural relaxation.

Lattice parameters (Å, degrees): 5.387 5.197 5.387 90.00 90.00 90.00
Fractional coordinates of all 5 atoms:
P: 0.000 0.000 0.000
Ca: 0.000 0.500 0.000
Bi: 0.000 0.000 0.500
Bi: 0.500 0.000 0.000
Pd: 0.500 0.500 0.500

Output
The calculation puts the density of states at the Fermi level at 4.11 states/eV/f.u. The formation energy is 0.96 eV/f.u.

DFT total energy across the listed records, respectively: -0.4259; -0.7121; -0.5265; -0.5862; -0.1027; -0.5561; -0.4419; -0.2852 Ry per atom.